A geometry-optimized La2VPt2 structure. Source: the Alexandria database, functional GGA-PBE.

Summary:
Total moment   3.94 μB per formula unit
SG   I4/mmm
Raw total energy   -0.47137 Ry/atom
E above lowest polymorph   0.452 eV/atom
Energy of formation   -0.2022 eV/atom
D(E_F)   3.07 states/eV/f.u.

POSCAR file:
```
La2VPt2
1.0
-2.1883 -0.1280 -3.2422
-1.2148 -3.5939 0.9618
-8.1588 1.4532 3.0873
La Pt V
2 2 1
Direct
0.3845 0.3845 0.2310
0.6155 0.6155 0.7690
0.7500 0.2500 0.5000
0.2500 0.7500 0.5000
0.0000 0.0000 0.0000
```